one | GGA-PBEsol Tb2WO6, optimized geometry; SG = P2/c, No. 13; crystal system = monoclinic; total moment = 0.00 μB/cell
1.0
-0.594 0.208 5.298
-5.307 -5.457 -0.381
9.773 -5.608 1.316
O W Tb
24 4 8
Direct
0.154 0.633 0.951
0.643 0.489 0.612
0.477 0.147 0.930
0.477 0.853 0.570
0.523 0.147 0.430
0.038 0.064 0.397
0.015 0.288 0.771
0.962 0.936 0.603
0.846 0.367 0.049
0.357 0.489 0.112
0.985 0.712 0.229
0.357 0.511 0.388
0.846 0.633 0.451
0.985 0.288 0.271
0.523 0.853 0.070
0.038 0.936 0.103
0.462 0.785 0.271
0.015 0.712 0.729
0.643 0.511 0.888
0.462 0.215 0.229
0.538 0.215 0.729
0.962 0.064 0.897
0.538 0.785 0.771
0.154 0.367 0.549
0.746 0.278 0.886
0.254 0.722 0.114
0.746 0.722 0.614
0.254 0.278 0.386
0.737 0.000 0.250
0.815 0.203 0.577
0.319 0.500 0.750
0.681 0.500 0.250
0.815 0.797 0.923
0.185 0.203 0.077
0.185 0.797 0.423
0.263 0.000 0.750


two | GGA-PBEsol Tb2WO6, optimized geometry; SG = P2_12_12_1, No. 19; crystal system = orthorhombic; total moment = 0.00 μB/cell
1.0
-3.716 -3.670 -0.062
3.039 -2.942 -8.004
6.091 -6.246 4.608
Tb W O
8 4 24
Direct
0.962 0.780 0.872
0.462 0.720 0.128
0.038 0.280 0.628
0.979 0.897 0.466
0.479 0.603 0.534
0.521 0.103 0.966
0.021 0.397 0.034
0.538 0.220 0.372
0.459 0.996 0.652
0.041 0.004 0.152
0.959 0.504 0.348
0.541 0.496 0.848
0.269 0.613 0.934
0.731 0.113 0.566
0.191 0.859 0.265
0.079 0.656 0.471
0.309 0.141 0.765
0.180 0.864 0.681
0.320 0.136 0.181
0.231 0.387 0.434
0.579 0.844 0.529
0.809 0.359 0.235
0.250 0.909 0.006
0.750 0.591 0.994
0.824 0.048 0.296
0.769 0.887 0.066
0.820 0.364 0.819
0.676 0.952 0.796
0.176 0.548 0.204
0.921 0.156 0.029
0.750 0.409 0.494
0.680 0.636 0.319
0.324 0.452 0.704
0.691 0.641 0.735
0.250 0.091 0.506
0.421 0.344 0.971


Winner for stability: one